## Pu4HgPdPt2 (PBE-GGA)

Data for crystalline Pu4HgPdPt2 at its relaxed geometry.

abc: 8.6192 8.6192 8.6192
angles: 34.39 34.39 34.39
Atoms (fractional coordinates):
Pu  0.1181  0.1181  0.1181
Pu  0.3670  0.3670  0.3670
Pu  0.6330  0.6330  0.6330
Pu  0.8819  0.8819  0.8819
Hg  0.5000  0.5000  0.5000
Pd  0.0000  0.0000  0.0000
Pt  0.2440  0.2440  0.2440
Pt  0.7560  0.7560  0.7560

## Properties
Its space group is R-3m. Its energy is -9.84 eV/atom. For the formation energy, the calculation gives -0.4731 eV per atom. The calculated volume is 182.3 Å³/f.u.